# 1
## BaHfTaO6 (GGA-PBE)

Data for a relaxed structure of BaHfTaO6.

- total DFT energy (no corrections) (eV/atom) = -8.736
- formation energy without anion corrections (eV per atom) = -2.794

a = 5.1739 Å, b = 5.1739 Å, c = 10.2203 Å
α = 90.00°, β = 90.00°, γ = 90.00°
Space group P4_2nm (No. 102)
Symmetry-distinct sites (fractional):
1 Ba 0.0000 0.0000 0.0000 [2 per cell]
2 Hf 0.0000 0.0000 0.3315 [2 per cell]
3 Ta 0.0000 0.0000 0.6662 [2 per cell]
4 O 0.1586 0.1586 0.5034 [4 per cell]
5 O 0.2243 0.2243 0.7814 [4 per cell]
6 O 0.2355 0.2355 0.2107 [4 per cell]

---

# 2
## TaCdSe2 (GGA-PBE)

Data for a relaxed structure of TaCdSe2.

- total DFT energy (no corrections) (eV/atom) = -5.278
- formation energy without anion corrections (eV per atom) = -0.344

a = 3.2768 Å, b = 3.3477 Å, c = 18.7686 Å
α = 90.00°, β = 90.00°, γ = 90.00°
Space group Imm2 (No. 44)
Symmetry-distinct sites (fractional):
1 Ta 0.0000 0.0000 0.0000 [2 per cell]
2 Cd 0.0000 0.5000 0.7510 [2 per cell]
3 Se 0.0000 0.0000 0.5703 [2 per cell]
4 Se 0.0000 0.5000 0.3979 [2 per cell]

---

# 3
## MgBe2Fe (GGA-PBE)

Data for a relaxed structure of MgBe2Fe.

- total DFT energy (no corrections) (eV/atom) = -4.118
- energy of formation (eV per atom) = 0.259

a = 2.8202 Å, b = 4.0766 Å, c = 7.9236 Å
α = 90.00°, β = 90.00°, γ = 90.00°
Space group Immm (No. 71)
Symmetry-distinct sites (fractional):
1 Mg 0.0000 0.0000 0.0000 [2 per cell]
2 Be 0.0000 0.5000 0.2280 [4 per cell]
3 Fe 0.0000 0.0000 0.5000 [2 per cell]

---

# 4
## Tl3CN2 (GGA-PBE)

Data for a relaxed structure of Tl3CN2.

- total DFT energy (no corrections) (eV/atom) = -5.277
- formation energy without anion corrections (eV per atom) = 0.219

a = 6.3991 Å, b = 12.7582 Å, c = 6.8009 Å
α = 90.00°, β = 90.00°, γ = 90.00°
Space group Ibam (No. 72)
Symmetry-distinct sites (fractional):
1 Tl 0.0000 0.0000 0.2500 [4 per cell]
2 Tl 0.0000 0.2765 0.2500 [8 per cell]
3 C 0.0000 0.5000 0.0000 [4 per cell]
4 N 0.1165 0.4221 0.0000 [8 per cell]

---

# 5
## LaScGe (GGA-PBE)

Data for a relaxed structure of LaScGe.

- total DFT energy (no corrections) (eV/atom) = -5.995
- energy of formation (eV per atom) = -0.703
- energy relative to the lowest polymorph listed for this composition (eV per formula unit) = 0.07

a = 4.3891 Å, b = 4.3891 Å, c = 8.0757 Å
α = 90.00°, β = 90.00°, γ = 90.00°
Space group P4/nmm (No. 129, origin choice 2)
Symmetry-distinct sites (fractional):
1 La 0.2500 0.2500 0.1452 [2 per cell]
2 Sc 0.2500 0.7500 0.5000 [2 per cell]
3 Ge 0.2500 0.2500 0.7321 [2 per cell]